# 1
First-principles (PBE) data for RbSrLi2 after structural relaxation, as listed in the Alexandria database.

## Properties
As for the space-group type: No. 225. The value obtained for the relative energy among the computed polymorphs is 26 kJ/mol of formula units. For the spin magnetization, the calculation gives 0.000 μB/f.u. As for the formation energy: 0.195 eV/atom. Its crystal system is cubic.

abc: 6.3096 6.3096 6.3096
angles: 60.00 60.00 60.00
With the nearest neighbours (Å) after each atom.
Fractional positions:
Rb1 0.0000 0.0000 0.0000  8 Li 3.86
Sr1 0.5000 0.5000 0.5000  8 Li 3.86
Li1 0.2500 0.2500 0.2500  4 Rb 3.86, 4 Sr 3.86
Li2 0.7500 0.7500 0.7500  4 Rb 3.86, 4 Sr 3.86



# 2
First-principles (PBE) data for RbSr2Li after structural relaxation, as listed in the Alexandria database.

## Properties
As for the space-group type: No. 8. For the spin magnetization, the calculation gives 0.001 μB/f.u. As for the formation energy: 0.156 eV/atom. Its crystal system is monoclinic.

abc: 4.3568 4.3568 13.4491
angles: 99.48 99.48 59.93
With the nearest neighbours (Å) after each atom.
Fractional positions:
Rb1 0.0000 0.0000 0.0000  6 Rb 4.35-4.36, 6 Sr 4.72-4.73
Sr1 0.5657 0.5657 0.6972  3 Li 3.62
Sr2 0.7676 0.7676 0.3026  3 Li 3.61-3.62
Li1 0.1666 0.1666 0.4997  6 Sr 3.61-3.62



# 3
First-principles (PBE) data for Rb3SrLi after structural relaxation, as listed in the Alexandria database.

## Properties
As for the space-group type: No. 221. The value obtained for the relative energy among the computed polymorphs is 0 kJ/mol of formula units. For the spin magnetization, the calculation gives 0.000 μB/f.u. As for the formation energy: 0.270 eV/atom. Its crystal system is cubic.

abc: 7.1873 7.1873 7.1873
angles: 90.00 90.00 90.00
With the nearest neighbours (Å) after each atom.
Fractional positions:
Rb1 0.0000 0.0000 0.5000  2 Li 3.59
Rb2 0.0000 0.5000 0.0000  2 Li 3.59
Rb3 0.5000 0.0000 0.0000  2 Li 3.59
Sr1 0.5000 0.5000 0.5000  12 Rb 5.08
Li1 0.0000 0.0000 0.0000  6 Rb 3.59